PBE ZrTcH4, relaxed; DFT total energy = -0.4166 Ry/atom; magnetization = 0.0 μB/cell; SG = No. 10
1.0
3.186 0.000 0.000
0.000 3.186 0.000
0.008 0.002 4.591
Zr Tc H
1 1 4
Cartesian
0.000 1.593 0.000
1.597 0.001 2.295
1.601 1.594 3.281
0.005 0.002 3.281
1.592 1.594 1.309
0.002 3.186 1.309